[1]
Crystalline KTeIr2 at its relaxed geometry. Source: Alexandria, functional GGA-PBE.

Calculated values
**Formation energy without anion corrections**: 0.811 eV per atom
**Fermi-level density of states**: 3.71 states/eV/f.u.

Lattice parameters (Å, degrees): 7.843 7.843 6.415 90.00 90.00 90.00
Space group I-42d (No. 122)
Symmetry-distinct sites (fractional):
K (0.000, 0.000, 0.000)
Te (0.000, 0.000, 0.500)
Ir (0.172, 0.750, 0.625)

=====

[2]
Crystalline TlSb2Cl8 at its relaxed geometry. Source: Alexandria, functional GGA-PBE.

Calculated values
**Excess energy over the best structure of this formula in the dataset**: 0 meV per atom
**Formation energy without anion corrections**: -0.768 eV per atom
**Fermi-level density of states**: 4.25 states/eV/f.u.

Lattice parameters (Å, degrees): 12.603 8.086 7.173 90.00 93.62 90.00
Space group C2/m (No. 12)
Symmetry-distinct sites (fractional):
Tl (0.000, 0.000, 0.000)
Sb (0.153, 0.500, 0.387)
Cl (0.029, 0.500, 0.756)
Cl (0.136, 0.183, 0.377)
Cl (0.245, 0.500, 0.102)

=====

[3]
Crystalline CeSnGe2Rh5 at its relaxed geometry. Source: Alexandria, functional GGA-PBE.

Calculated values
**Final energy**: -6.65 eV per atom
**Fermi-level density of states**: 9.69 states/eV/f.u.

Lattice parameters (Å, degrees): 4.069 4.069 10.805 90.00 90.00 90.00
Space group P4/mmm (No. 123)
Symmetry-distinct sites (fractional):
Ce (0.000, 0.000, 0.000)
Sn (0.000, 0.000, 0.500)
Ge (0.500, 0.500, 0.222)
Rh (0.000, 0.500, 0.342)
Rh (0.500, 0.500, 0.000)

=====

[4]
Crystalline Nb6PdC at its relaxed geometry. Source: Alexandria, functional GGA-PBE.

Calculated values
**Final energy**: -9.45 eV per atom
**Fermi-level density of states**: 7.26 states/eV/f.u.

Lattice parameters (Å, degrees): 4.877 5.379 5.514 97.64 110.08 91.46
Space group P-1 (No. 2)
Symmetry-distinct sites (fractional):
Nb (0.059, 0.295, 0.148)
Nb (0.206, 0.850, 0.441)
Nb (0.409, 0.402, 0.738)
Pd (0.500, 0.000, 0.000)
C (0.000, 0.500, 0.500)

=====

[5]
Crystalline SrTe2MoI at its relaxed geometry. Source: Alexandria, functional GGA-PBE.

Calculated values
**Excess energy over the best structure of this formula in the dataset**: 0 meV per atom
**Formation energy without anion corrections**: -0.262 eV per atom
**Fermi-level density of states**: 3.43 states/eV/f.u.

Lattice parameters (Å, degrees): 5.327 5.327 5.839 90.00 90.00 90.00
Space group P4/mmm (No. 123)
Symmetry-distinct sites (fractional):
Sr (0.000, 0.000, 0.000)
Te (0.000, 0.500, 0.500)
Mo (0.500, 0.500, 0.500)
I (0.500, 0.500, 0.000)

=====

[6]
Crystalline Ac6Ge3C at its relaxed geometry. Source: Alexandria, functional GGA-PBE.

Calculated values
**Final energy**: -5.12 eV per atom
**Fermi-level density of states**: 5.14 states/eV/f.u.

Lattice parameters (Å, degrees): 13.4163 13.4163 13.6168 90.00 90.00 120.00
Space group R-3 (No. 148, hexagonal axes)
Symmetry-distinct sites (fractional):
Ac (0.0335, 0.8423, 0.3958)
Ac (0.0384, 0.8480, 0.8863)
Ge (0.0536, 0.6128, 0.3336)
C (0.0000, 0.0000, 0.0000)
C (0.0000, 0.0000, 0.5000)

=====

[7]
Crystalline Tb6Nd3Sm2Dy at its relaxed geometry. Source: Alexandria, functional GGA-PBE.

Calculated values
**Final energy**: -4.66 eV per atom
**Fermi-level density of states**: 15.15 states/eV/f.u.

Lattice parameters (Å, degrees): 6.243 10.809 11.904 90.00 100.04 90.00
Space group C2/m (No. 12)
Symmetry-distinct sites (fractional):
Tb (0.249, 0.166, 0.248)
Tb (0.250, 0.000, 0.752)
Nd (0.000, 0.167, 0.500)
Nd (0.000, 0.500, 0.500)
Sm (0.000, 0.333, 0.000)
Dy (0.000, 0.000, 0.000)

=====

[8]
Crystalline MnNbCoHSe at its relaxed geometry. Source: Alexandria, functional GGA-PBE.

Calculated values
**Excess energy over the best structure of this formula in the dataset**: 65 meV per atom
**Fermi-level density of states**: 2.60 states/eV/f.u.

Lattice parameters (Å, degrees): 4.380 3.174 4.461 90.00 101.02 90.00
Space group Pm (No. 6)
Symmetry-distinct sites (fractional):
Mn (0.000, 0.000, 0.000)
Nb (0.420, 0.000, 0.602)
Co (0.541, 0.500, 0.092)
H (0.418, 0.000, 0.126)
Se (0.928, 0.500, 0.518)

=====

[9]
Crystalline BaPa3Se7 at its relaxed geometry. Source: Alexandria, functional GGA-PBE.

Calculated values
**Formation energy without anion corrections**: -1.425 eV per atom
**Fermi-level density of states**: 14.47 states/eV/f.u.

Lattice parameters (Å, degrees): 9.201 10.235 7.148 90.00 107.44 90.00
Space group C2/m (No. 12)
Symmetry-distinct sites (fractional):
Ba (0.000, 0.000, 0.000)
Pa (0.000, 0.275, 0.500)
Pa (0.000, 0.500, 0.000)
Se (0.000, 0.000, 0.500)
Se (0.151, 0.500, 0.716)
Se (0.181, 0.300, 0.234)

=====

[10]
Crystalline LiCr3B at its relaxed geometry. Source: Alexandria, functional GGA-PBE.

Calculated values
**Excess energy over the best structure of this formula in the dataset**: 0 meV per atom
**Fermi-level density of states**: 4.48 states/eV/f.u.

Lattice parameters (Å, degrees): 3.920 3.920 3.920 90.00 90.00 90.00
Space group Pm-3m (No. 221)
Symmetry-distinct sites (fractional):
Li (0.000, 0.000, 0.000)
Cr (0.000, 0.500, 0.500)
B (0.500, 0.500, 0.500)

=====

[11]
Crystalline La2NiB3Pt12 at its relaxed geometry. Source: Alexandria, functional GGA-PBE.

Calculated values
**Final energy**: -6.43 eV per atom
**Fermi-level density of states**: 9.25 states/eV/f.u.

Lattice parameters (Å, degrees): 7.9270 7.9270 17.6528 90.00 90.00 120.00
Space group R-3m (No. 166, hexagonal axes)
Symmetry-distinct sites (fractional):
La (0.0000, 0.0000, 0.1109)
Ni (0.0000, 0.0000, 0.5000)
B (0.0000, 0.5000, 0.0000)
Pt (0.0076, 0.5038, 0.1192)
Pt (0.0579, 0.5290, 0.3558)

=====

[12]
Crystalline Sc3TcGe at its relaxed geometry. Source: Alexandria, functional GGA-PBE.

Calculated values
**Excess energy over the best structure of this formula in the dataset**: 0 meV per atom
**Fermi-level density of states**: 0.39 states/eV/f.u.

Lattice parameters (Å, degrees): 4.950 4.950 4.950 90.00 90.00 90.00
Space group Pm-3m (No. 221)
Symmetry-distinct sites (fractional):
Sc (0.000, 0.000, 0.500)
Tc (0.000, 0.000, 0.000)
Ge (0.500, 0.500, 0.500)

=====

[13]
Crystalline PrGdGe4 at its relaxed geometry. Source: Alexandria, functional GGA-PBE.

Calculated values
**Final energy**: -6.60 eV per atom
**Fermi-level density of states**: 5.94 states/eV/f.u.

Lattice parameters (Å, degrees): 8.073 8.073 8.073 90.00 90.00 90.00
Space group F-43m (No. 216)
Symmetry-distinct sites (fractional):
Pr (0.000, 0.000, 0.000)
Gd (0.250, 0.250, 0.750)
Ge (0.124, 0.124, 0.376)

=====

[14]
Crystalline CeHoTc at its relaxed geometry. Source: Alexandria, functional GGA-PBE.

Calculated values
**Excess energy over the best structure of this formula in the dataset**: 139 meV per atom
**Fermi-level density of states**: 2.34 states/eV/f.u.

Lattice parameters (Å, degrees): 6.766 6.766 6.766 90.00 90.00 90.00
Space group F-43m (No. 216)
Symmetry-distinct sites (fractional):
Ce (0.000, 0.000, 0.000)
Ho (0.000, 0.000, 0.500)
Tc (0.250, 0.250, 0.250)

=====

[15]
Crystalline PrRe4Se7 at its relaxed geometry. Source: Alexandria, functional GGA-PBE.

Calculated values
**Formation energy without anion corrections**: -0.175 eV per atom
**Fermi-level density of states**: 4.77 states/eV/f.u.

Lattice parameters (Å, degrees): 17.847 5.320 5.122 90.00 90.00 90.00
Space group Pmn2_1 (No. 31)
Symmetry-distinct sites (fractional):
Pr (0.000, 0.133, 0.000)
Re (0.141, 0.678, 0.556)
Re (0.243, 0.631, 0.958)
Se (0.000, 0.807, 0.507)
Se (0.099, 0.653, 0.015)
Se (0.121, 0.207, 0.466)
Se (0.237, 0.167, 0.913)

=====

[16]
Crystalline Li2PmEr2Si2 at its relaxed geometry. Source: Alexandria, functional GGA-PBE.

Calculated values
**Formation energy without anion corrections**: -0.398 eV per atom
**Fermi-level density of states**: 3.33 states/eV/f.u.

Lattice parameters (Å, degrees): 4.4701 4.4701 26.2724 90.00 90.00 120.00
Space group R-3m (No. 166, hexagonal axes)
Symmetry-distinct sites (fractional):
Li (0.0000, 0.0000, 0.0938)
Pm (0.0000, 0.0000, 0.5000)
Er (0.0000, 0.0000, 0.3714)
Si (0.0000, 0.0000, 0.2415)

=====

[17]
Crystalline BN2Cl at its relaxed geometry. Source: Alexandria, functional GGA-PBE.

Calculated values
**Excess energy over the best structure of this formula in the dataset**: 2761 meV per atom
**Formation energy without anion corrections**: 3.243 eV per atom
**Fermi-level density of states**: 2.91 states/eV/f.u.

Lattice parameters (Å, degrees): 5.340 5.340 5.340 90.00 90.00 90.00
Space group Fm-3m (No. 225)
Symmetry-distinct sites (fractional):
B (0.000, 0.000, 0.000)
N (0.250, 0.250, 0.250)
Cl (0.000, 0.000, 0.500)

=====

[18]
Crystalline La2Pm5HoTm at its relaxed geometry. Source: Alexandria, functional GGA-PBE.

Calculated values
**Final energy**: -4.61 eV per atom
**Fermi-level density of states**: 12.65 states/eV/f.u.

Lattice parameters (Å, degrees): 5.710 20.272 10.808 90.00 90.00 90.00
Space group Cmc2_1 (No. 36)
Symmetry-distinct sites (fractional):
La (0.000, 0.114, 0.000)
La (0.000, 0.117, 0.581)
Pm (0.000, 0.016, 0.285)
Pm (0.000, 0.278, 0.577)
Pm (0.000, 0.296, 0.969)
Pm (0.000, 0.383, 0.286)
Pm (0.000, 0.483, 0.008)
Ho (0.000, 0.408, 0.729)
Tm (0.000, 0.200, 0.276)

=====

[19]
Crystalline LaTiSn2 at its relaxed geometry. Source: Alexandria, functional GGA-PBE.

Calculated values
**Excess energy over the best structure of this formula in the dataset**: 442 meV per atom
**Fermi-level density of states**: 3.25 states/eV/f.u.

Lattice parameters (Å, degrees): 5.141 5.141 19.091 90.00 90.00 90.00
Space group I-42d (No. 122)
Symmetry-distinct sites (fractional):
La (0.000, 0.000, 0.000)
Ti (0.000, 0.000, 0.500)
Sn (0.138, 0.250, 0.625)

=====

[20]
Crystalline BrO at its relaxed geometry. Source: Alexandria, functional GGA-PBE.

Calculated values
**Excess energy over the best structure of this formula in the dataset**: 85 meV per atom
**Formation energy without anion corrections**: 0.228 eV per atom
**Fermi-level density of states**: 0.00 states/eV/f.u.

Lattice parameters (Å, degrees): 6.246 8.100 8.318 90.00 90.00 90.00
Space group P2_12_12_1 (No. 19)
Symmetry-distinct sites (fractional):
Br (0.035, 0.091, 0.311)
Br (0.097, 0.620, 0.741)
O (0.171, 0.829, 0.716)
O (0.245, 0.504, 0.600)

=====

Record-wise total magnetic moment values, in μB/f.u.: 0.00, 0.00, 0.78, 0.00, 0.00, 0.00, 0.00, 2.36, 3.03, 1.83, 0.00, 0.00, 7.83, 0.00, 0.00, 0.00, 0.00, 0.00, 1.75, 0.00